Y2Al4GaPt3: relaxed, PBE-GGA.

Lattice parameters (Å, degrees): 4.205 4.205 10.609 90.00 90.00 90.00
Space group P-4m2 (No. 115)
Inequivalent atoms, fractional coordinates:
Y 0.000 0.500 0.249 (multiplicity 2)
Al 0.000 0.000 0.000 (multiplicity 1)
Al 0.000 0.500 0.638 (multiplicity 2)
Al 0.500 0.500 0.000 (multiplicity 1)
Ga 0.000 0.000 0.500 (multiplicity 1)
Pt 0.000 0.500 0.868 (multiplicity 2)
Pt 0.500 0.500 0.500 (multiplicity 1)

Output
**Final energy**: -5.90 eV per atom
**E_form**: -0.993 eV per atom